Compound: CeHoMo4
Source: Alexandria
Functional: PBE
Structure: optimized geometry

```
CeHoMo4
1.0
5.522 0.000 0.000
2.761 4.782 0.000
2.761 1.594 4.509
Mo Ho Ce
4 1 1
direct
0.625 0.625 0.126
0.625 0.126 0.625
0.625 0.625 0.625
0.126 0.625 0.625
0.000 0.000 0.000
0.250 0.250 0.250
```

Computed properties:
The value obtained for the volume is 119 Å³ per cell. For the energy relative to the elements, the calculation gives 0.13 eV per atom. The density of states at the Fermi level comes out at 1.0534 states/eV/atom. As for the total magnetization: 0.00 μB/f.u. The calculated total energy is -8.838 eV/atom.

Compound: CeHoMoN3
Source: Alexandria
Functional: PBE
Structure: optimized geometry

```
CeHoMoN3
1.0
3.292 0.000 0.000
0.000 7.297 0.961
0.000 -1.760 7.652
Ce Ho Mo N
2 2 2 6
direct
0.750 0.840 0.822
0.250 0.160 0.178
0.250 0.628 0.152
0.750 0.372 0.848
0.250 0.111 0.581
0.750 0.889 0.419
0.250 0.830 0.578
0.750 0.870 0.154
0.750 0.394 0.130
0.750 0.170 0.422
0.250 0.606 0.870
0.250 0.130 0.846
```

Computed properties:
The value obtained for the volume is 189 Å³ per cell. The density of states at the Fermi level comes out at 0.5682 states/eV/atom. The value obtained for the uncorrected formation energy is -1013 meV/atom. As for the total magnetization: 0.00 μB/f.u. The calculated total energy is -8.733 eV/atom.

Compound: CeHo2MoN4
Source: Alexandria
Functional: PBE
Structure: optimized geometry

```
CeHo2MoN4
1.0
3.396 0.000 0.000
-1.698 5.883 0.000
0.000 0.000 11.733
Ce Ho Mo N
2 4 2 8
direct
0.105 0.210 0.750
0.895 0.790 0.250
0.370 0.740 0.539
0.630 0.260 0.039
0.630 0.260 0.461
0.370 0.740 0.961
0.844 0.689 0.750
0.156 0.311 0.250
0.264 0.528 0.124
0.736 0.472 0.624
0.736 0.472 0.876
0.264 0.528 0.376
0.000 0.000 0.500
0.000 0.000 0.000
0.449 0.898 0.750
0.551 0.102 0.250
```

Computed properties:
The value obtained for the volume is 234 Å³ per cell. The density of states at the Fermi level comes out at 0.8347 states/eV/atom. The value obtained for the uncorrected formation energy is -1166 meV/atom. As for the total magnetization: 0.58 μB/f.u. The calculated total energy is -8.569 eV/atom.

Compound: CeHoN
Source: Alexandria
Functional: PBE
Structure: optimized geometry

```
CeHoN
1.0
7.221 0.969 0.000
0.846 7.236 0.000
-4.033 -4.103 4.705
N Ce Ho
4 4 4
direct
0.706 0.706 0.412
0.294 0.294 0.588
0.544 0.044 0.088
0.956 0.456 0.912
0.880 0.380 0.500
0.630 0.630 0.000
0.620 0.120 0.500
0.370 0.370 0.000
0.125 0.375 0.250
0.125 0.875 0.750
0.125 0.875 0.250
0.625 0.875 0.750
```

Computed properties:
The value obtained for the volume is 242 Å³ per cell. The density of states at the Fermi level comes out at 1.4708 states/eV/atom. The value obtained for the uncorrected formation energy is -682 meV/atom. As for the total magnetization: 0.00 μB/f.u. The calculated total energy is -6.961 eV/atom. The calculation puts the energy above the most stable polymorph in this dataset at 0.83 eV/f.u.